Entry 1:
4
Lattice="4.033 0.000 0.000 0.000 4.033 0.000 0.000 0.000 4.114" Properties=species:S:1:pos:R:3 comment="CdNiAg2 PBE optimized geometry" spacegroup=P4/mmm formation_energy_mev_per_atom=94 pbc="T T T"
Cd 0.000 0.000 0.000
Ni 2.016 2.016 0.000
Ag 0.000 2.016 2.057
Ag 2.016 0.000 2.057

---

Entry 2:
12
Lattice="7.357 -3.441 0.000 7.357 3.441 0.000 -1.333 0.000 4.475" Properties=species:S:1:pos:R:3 comment="Cd6NiAg5 PBE optimized geometry" spacegroup=C2/m formation_energy_mev_per_atom=-27 pbc="T T T"
Cd 4.593 1.815 1.548
Cd 7.357 1.894 0.000
Cd 8.788 1.815 2.927
Cd 4.593 -1.815 1.548
Cd 7.357 -1.894 0.000
Cd 8.788 -1.815 2.927
Ni -0.667 0.000 2.238
Ag 2.437 0.000 0.796
Ag 3.804 0.000 3.744
Ag 6.691 0.000 2.238
Ag 9.578 0.000 0.731
Ag 10.944 0.000 3.679

---

What did the first record say?
4
Lattice="4.033 0.000 0.000 0.000 4.033 0.000 0.000 0.000 4.114" Properties=species:S:1:pos:R:3 comment="CdNiAg2 PBE optimized geometry" spacegroup=P4/mmm formation_energy_mev_per_atom=94 pbc="T T T"
Cd 0.000 0.000 0.000
Ni 2.016 2.016 0.000
Ag 0.000 2.016 2.057
Ag 2.016 0.000 2.057